No. 1
The following is a PBE calculation of a relaxed Pr2Sm3DyS6 crystal, from Alexandria.

Cell lengths 4.0111, 8.0928, 8.9823 Å; angles 102.86, 102.90, 90.00 degrees
With the nearest neighbours (Å) after each atom.
Fractional positions:
Sm: 0.8308 0.1666 0.6615  6 S 2.81-2.86
Sm: 0.1692 0.8334 0.3385  6 S 2.81-2.86
Sm: 0.5000 0.5000 0.0000  6 S 2.80-2.89
S: 0.6644 0.5885 0.3288  3 Sm 2.80-2.81, 3 Pr 2.87-2.88
S: 0.6630 0.0759 0.3260  1 Dy 2.78, 3 Sm 2.83-2.86, 2 Pr 2.89
S: 0.3356 0.4115 0.6712  3 Sm 2.80-2.81, 3 Pr 2.87-2.88
S: 0.0028 0.7588 0.0056  2 Dy 2.81, 3 Sm 2.84-2.89, 1 Pr 2.90
S: 0.9972 0.2412 0.9944  2 Dy 2.81, 3 Sm 2.84-2.89, 1 Pr 2.90
S: 0.3370 0.9241 0.6740  1 Dy 2.78, 3 Sm 2.83-2.86, 2 Pr 2.89
Pr: 0.8327 0.6646 0.6654  6 S 2.87-2.90
Pr: 0.1673 0.3354 0.3346  6 S 2.87-2.90
Dy: 0.5000 0.0000 0.0000  6 S 2.78-2.81

Computed properties:
* size of the total moment: 0.000 μB per formula unit
* uncorrected energy: -6.44 eV/atom
* ΔE_f (raw): -2.01 eV per atom

No. 2
The following is a PBE calculation of a relaxed Pr4SmDy3S8 crystal, from Alexandria.

Cell lengths 7.9773, 8.1067, 7.9774 Å; angles 119.48, 120.00, 90.00 degrees
With the nearest neighbours (Å) after each atom.
Fractional positions:
S: 0.2469 0.7333 0.4937  2 Dy 2.77, 1 Sm 2.81, 3 Pr 2.88-2.92
S: 0.7531 0.2667 0.0136  2 Dy 2.77, 1 Sm 2.81, 3 Pr 2.88-2.92
S: 0.7434 0.7301 0.4868  3 Dy 2.77, 3 Pr 2.92
S: 0.2604 0.2667 0.0136  2 Dy 2.77, 1 Sm 2.81, 3 Pr 2.88-2.92
S: 0.2469 0.7333 0.9864  2 Dy 2.77, 1 Sm 2.81, 3 Pr 2.88-2.92
S: 0.7396 0.7333 0.9864  2 Dy 2.77, 1 Sm 2.81, 3 Pr 2.88-2.92
S: 0.7531 0.2667 0.5063  2 Dy 2.77, 1 Sm 2.81, 3 Pr 2.88-2.92
S: 0.2566 0.2699 0.5132  3 Dy 2.77, 3 Pr 2.92
Dy: 0.5000 0.5000 0.0000  6 S 2.77
Dy: 0.0000 0.5000 0.5000  6 S 2.77
Dy: 0.5000 0.5000 0.5000  6 S 2.77
Sm: 0.0000 0.5000 0.0000  6 S 2.81
Pr: 0.5000 0.0000 0.5000  6 S 2.92
Pr: 0.5000 0.0000 0.0000  6 S 2.88
Pr: 0.0000 0.0000 0.0000  6 S 2.92
Pr: 0.0000 0.0000 0.5000  6 S 2.92

Computed properties:
* size of the total moment: 0.000 μB per formula unit
* uncorrected energy: -6.43 eV/atom
* ΔE_f (raw): -2.01 eV per atom

No. 3
The following is a PBE calculation of a relaxed Pr2SmDy3S6 crystal, from Alexandria.

Cell lengths 3.9547, 8.0644, 8.9481 Å; angles 104.06, 102.77, 90.00 degrees
With the nearest neighbours (Å) after each atom.
Fractional positions:
Pr: 0.8331 0.6662 0.6662  6 S 2.89-2.90
Pr: 0.1669 0.3338 0.3338  6 S 2.89-2.90
Dy: 0.1676 0.8334 0.3352  6 S 2.75-2.77
Dy: 0.5000 0.5000 0.0000  6 S 2.75-2.78
Dy: 0.8324 0.1666 0.6648  6 S 2.75-2.77
Sm: 0.5000 0.0000 0.0000  6 S 2.85-2.87
S: 0.0044 0.7451 0.0088  3 Dy 2.76-2.78, 2 Sm 2.87, 1 Pr 2.90
S: 0.3376 0.4060 0.6752  3 Dy 2.75, 3 Pr 2.89-2.90
S: 0.9956 0.2549 0.9912  3 Dy 2.76-2.78, 2 Sm 2.87, 1 Pr 2.90
S: 0.3315 0.9286 0.6630  3 Dy 2.75-2.77, 1 Sm 2.85, 2 Pr 2.90
S: 0.6624 0.5940 0.3248  3 Dy 2.75, 3 Pr 2.89-2.90
S: 0.6685 0.0714 0.3370  3 Dy 2.75-2.77, 1 Sm 2.85, 2 Pr 2.90

Computed properties:
* size of the total moment: 0.000 μB per formula unit
* uncorrected energy: -6.42 eV/atom
* ΔE_f (raw): -2.01 eV per atom

No. 4
The following is a PBE calculation of a relaxed Pr3SmDy2S6 crystal, from Alexandria.

Cell lengths 6.9366, 6.9366, 7.0323 Å; angles 99.45, 99.45, 120.15 degrees
With the nearest neighbours (Å) after each atom.
Fractional positions:
S: 0.2618 0.2618 0.7672  2 Dy 2.76, 1 Sm 2.81, 3 Pr 2.88-2.91
S: 0.9217 0.5824 0.7649  2 Dy 2.77, 1 Sm 2.82, 3 Pr 2.89-2.92
S: 0.5824 0.9217 0.7649  2 Dy 2.77, 1 Sm 2.82, 3 Pr 2.89-2.92
S: 0.7382 0.7382 0.2328  2 Dy 2.76, 1 Sm 2.81, 3 Pr 2.88-2.91
S: 0.4176 0.0783 0.2351  2 Dy 2.77, 1 Sm 2.82, 3 Pr 2.89-2.92
S: 0.0783 0.4176 0.2351  2 Dy 2.77, 1 Sm 2.82, 3 Pr 2.89-2.92
Dy: 0.6665 0.3335 0.0000  6 S 2.76-2.77
Dy: 0.3335 0.6665 0.0000  6 S 2.76-2.77
Sm: 0.0000 0.0000 0.0000  6 S 2.81-2.82
Pr: 0.1640 0.8360 0.5000  6 S 2.89-2.92
Pr: 0.8360 0.1640 0.5000  6 S 2.89-2.92
Pr: 0.5000 0.5000 0.5000  6 S 2.88-2.92

Computed properties:
* size of the total moment: 0.000 μB per formula unit
* uncorrected energy: -6.44 eV/atom
* ΔE_f (raw): -2.02 eV per atom

No. 5
The following is a PBE calculation of a relaxed PrSm3Dy2S6 crystal, from Alexandria.

Cell lengths 6.9202, 6.9202, 6.9087 Å; angles 99.59, 99.59, 120.15 degrees
With the nearest neighbours (Å) after each atom.
Fractional positions:
Sm: 0.8384 0.1616 0.5000  6 S 2.81-2.86
Sm: 0.5000 0.5000 0.5000  6 S 2.79-2.86
Sm: 0.1616 0.8384 0.5000  6 S 2.81-2.86
S: 0.4267 0.0824 0.2474  2 Dy 2.78-2.79, 3 Sm 2.81-2.86, 1 Pr 2.88
S: 0.7369 0.7369 0.2432  2 Dy 2.76, 3 Sm 2.79-2.84, 1 Pr 2.86
S: 0.0824 0.4267 0.2474  2 Dy 2.78-2.79, 3 Sm 2.81-2.86, 1 Pr 2.88
S: 0.2631 0.2631 0.7568  2 Dy 2.76, 3 Sm 2.79-2.84, 1 Pr 2.86
S: 0.5733 0.9176 0.7526  2 Dy 2.78-2.79, 3 Sm 2.81-2.86, 1 Pr 2.88
S: 0.9176 0.5733 0.7526  2 Dy 2.78-2.79, 3 Sm 2.81-2.86, 1 Pr 2.88
Dy: 0.3339 0.6661 0.0000  6 S 2.76-2.79
Dy: 0.6661 0.3339 0.0000  6 S 2.76-2.79
Pr: 0.0000 0.0000 0.0000  6 S 2.86-2.88

Computed properties:
* size of the total moment: 0.000 μB per formula unit
* uncorrected energy: -6.42 eV/atom
* ΔE_f (raw): -2.01 eV per atom

No. 6
The following is a PBE calculation of a relaxed PrSmDy2S4 crystal, from Alexandria.

Cell lengths 3.9291, 7.0000, 6.8620 Å; angles 71.19, 90.00, 90.00 degrees
With the nearest neighbours (Å) after each atom.
Fractional positions:
S: 0.0000 0.2339 0.2591  3 Dy 2.74-2.78, 1 Sm 2.86, 2 Pr 2.89
S: 0.5000 0.2366 0.7511  3 Dy 2.75-2.77, 2 Sm 2.86, 1 Pr 2.89
S: 0.0000 0.7661 0.7409  3 Dy 2.74-2.78, 1 Sm 2.86, 2 Pr 2.89
S: 0.5000 0.7634 0.2489  3 Dy 2.75-2.77, 2 Sm 2.86, 1 Pr 2.89
Dy: 0.5000 0.0000 0.5000  6 S 2.74-2.75
Dy: 0.0000 0.0000 0.0000  6 S 2.77-2.78
Sm: 0.0000 0.5000 0.5000  6 S 2.86
Pr: 0.5000 0.5000 0.0000  6 S 2.89

Computed properties:
* size of the total moment: 0.000 μB per formula unit
* uncorrected energy: -6.41 eV/atom
* ΔE_f (raw): -2.01 eV per atom

No. 7
The following is a PBE calculation of a relaxed PrSmDyS3 crystal, from Alexandria.

Cell lengths 3.9209, 6.9317, 10.4570 Å; angles 102.51, 90.00, 90.00 degrees
With the nearest neighbours (Å) after each atom.
Fractional positions:
Dy: 0.2500 0.7669 0.0553  6 S 2.74-2.83
Dy: 0.7500 0.2331 0.9447  6 S 2.74-2.83
S: 0.7500 0.5463 0.1565  3 Dy 2.74-2.83, 1 Sm 2.81, 2 Pr 3.01
S: 0.2500 0.9483 0.8472  3 Dy 2.74-2.81, 1 Sm 2.79, 2 Pr 3.01
S: 0.2500 0.4537 0.8435  3 Dy 2.74-2.83, 1 Sm 2.81, 2 Pr 3.01
S: 0.7500 0.2806 0.4960  3 Sm 2.77-2.85, 3 Pr 2.92-2.96
S: 0.2500 0.7194 0.5040  3 Sm 2.77-2.85, 3 Pr 2.92-2.96
S: 0.7500 0.0517 0.1528  3 Dy 2.74-2.81, 1 Sm 2.79, 2 Pr 3.01
Sm: 0.2500 0.1260 0.6319  5 S 2.77-2.85
Sm: 0.7500 0.8740 0.3681  5 S 2.77-2.85
Pr: 0.2500 0.3455 0.3033  7 S 2.92-3.01
Pr: 0.7500 0.6545 0.6967  7 S 2.92-3.01

Computed properties:
* size of the total moment: 0.000 μB per formula unit
* uncorrected energy: -6.34 eV/atom
* ΔE_f (raw): -1.92 eV per atom

No. 8
The following is a PBE calculation of a relaxed PrSm4DyS8 crystal, from Alexandria.

Cell lengths 8.2284, 8.2284, 8.2489 Å; angles 60.08, 60.08, 60.00 degrees
With the nearest neighbours (Å) after each atom.
Fractional positions:
Sm: 0.0007 0.4977 0.5010  6 S 2.82-2.84
Sm: 0.4977 0.0007 0.5010  6 S 2.82-2.84
Sm: 0.0007 0.0007 0.5010  6 S 2.82-2.84
Sm: 0.6254 0.6254 0.1239  4 S 2.67-2.69
S: 0.2488 0.2488 0.7394  1 Dy 2.61, 2 Sm 2.83, 1 Pr 2.89
S: 0.2283 0.7543 0.2631  3 Sm 2.67-2.82, 1 Pr 2.88
S: 0.2444 0.2444 0.2668  1 Dy 2.63, 3 Sm 2.84
S: 0.2488 0.7631 0.7394  1 Dy 2.61, 2 Sm 2.83, 1 Pr 2.89
S: 0.7631 0.2488 0.7394  1 Dy 2.61, 2 Sm 2.83, 1 Pr 2.89
S: 0.7543 0.2283 0.2631  3 Sm 2.67-2.82, 1 Pr 2.88
S: 0.7583 0.7583 0.7251  4 Sm 2.69-2.83
S: 0.7543 0.7543 0.2631  3 Sm 2.67-2.82, 1 Pr 2.88
Dy: 0.3746 0.3746 0.8763  4 S 2.61-2.63
Pr: 0.0009 0.0009 0.9974  6 S 2.88-2.89

Computed properties:
* size of the total moment: 0.000 μB per formula unit
* uncorrected energy: -6.29 eV/atom
* ΔE_f (raw): -1.91 eV per atom